Below is an optimized crystal structure of PaBeCd, with properties calculated at the PBE level.

Space-group type   Fmmm (69)
Theoretical density   10.192 g/cm³
E_form   0.29 eV/atom

a b c (Å): 6.761 5.585 5.219
angles (deg): 77.39 53.72 48.89
Sites, in units of the cell vectors:
1 Pa 0.177 0.823 0.177
2 Pa 0.823 0.177 0.823
3 Be 0.250 0.250 0.250
4 Be 0.750 0.750 0.750
5 Cd 0.332 0.332 0.668
6 Cd 0.668 0.668 0.332

=====

Below is an optimized crystal structure of BeCdPb2, with properties calculated at the PBE level.

Space-group type   Cm (8)
Theoretical density   8.865 g/cm³
E_form   0.33 eV/atom

a b c (Å): 4.786 4.786 6.961
angles (deg): 108.62 108.62 42.06
Sites, in units of the cell vectors:
1 Be 0.000 0.000 0.000
2 Cd 0.284 0.284 0.994
3 Pb 0.479 0.479 0.672
4 Pb 0.661 0.661 0.322

=====

Below is an optimized crystal structure of BeCdPb2, with properties calculated at the PBE level.

Space-group type   Immm (71)
Theoretical density   8.902 g/cm³
E_form   0.44 eV/atom

a b c (Å): 5.658 5.658 5.658
angles (deg): 138.33 121.84 74.06
Sites, in units of the cell vectors:
1 Be 0.000 0.000 0.000
2 Cd 0.500 0.500 0.000
3 Pb 0.202 0.702 0.500
4 Pb 0.798 0.298 0.500

=====

Below is an optimized crystal structure of BeCdPb2, with properties calculated at the PBE level.

Space-group type   I-42d (122)
Theoretical density   7.334 g/cm³
E_form   0.54 eV/atom

a b c (Å): 7.252 7.252 7.252
angles (deg): 125.70 125.70 80.38
Sites, in units of the cell vectors:
1 Be 0.000 0.000 0.000
2 Be 0.750 0.250 0.500
3 Cd 0.250 0.750 0.500
4 Cd 0.500 0.500 0.000
5 Pb 0.047 0.625 0.922
6 Pb 0.375 0.297 0.422
7 Pb 0.703 0.125 0.078
8 Pb 0.875 0.953 0.578

=====

Below is an optimized crystal structure of BeCdPb2, with properties calculated at the PBE level.

Space-group type   Cmm2 (35)
Theoretical density   9.162 g/cm³
E_form   0.34 eV/atom

a b c (Å): 3.424 3.424 8.365
angles (deg): 90.00 90.00 97.98
Sites, in units of the cell vectors:
1 Be 0.000 0.000 0.000
2 Cd 0.500 0.500 0.163
3 Pb 0.000 0.000 0.425
4 Pb 0.500 0.500 0.791

=====

Below is an optimized crystal structure of BeCdPb2, with properties calculated at the PBE level.

Space-group type   I-4m2 (119)
Theoretical density   8.974 g/cm³
E_form   0.50 eV/atom

a b c (Å): 5.923 5.923 5.923
angles (deg): 135.93 135.93 64.09
Sites, in units of the cell vectors:
1 Be 0.000 0.000 0.000
2 Cd 0.250 0.750 0.500
3 Pb 0.500 0.500 0.000
4 Pb 0.750 0.250 0.500

=====

Below is an optimized crystal structure of BeCdPb2, with properties calculated at the PBE level.

Space-group type   C2/m (12)
Theoretical density   9.029 g/cm³
E_form   0.50 eV/atom

a b c (Å): 5.403 5.403 3.484
angles (deg): 93.12 93.12 103.45
Sites, in units of the cell vectors:
1 Be 0.000 0.000 0.000
2 Cd 0.500 0.500 0.000
3 Pb 0.000 0.500 0.500
4 Pb 0.500 0.000 0.500

=====

Below is an optimized crystal structure of BeCd3Pb, with properties calculated at the PBE level.

Space-group type   Pm-3m (221)
Theoretical density   4.678 g/cm³
E_form   0.97 eV/atom

a b c (Å): 5.813 5.813 5.813
angles (deg): 90.00 90.00 90.00
Sites, in units of the cell vectors:
1 Be 0.000 0.000 0.000
2 Cd 0.000 0.500 0.500
3 Cd 0.500 0.000 0.500
4 Cd 0.500 0.500 0.000
5 Pb 0.500 0.500 0.500

=====

Below is an optimized crystal structure of BeCdPb, with properties calculated at the PBE level.

Space-group type   I4mm (107)
Theoretical density   8.546 g/cm³
E_form   0.43 eV/atom

a b c (Å): 6.650 6.650 6.650
angles (deg): 152.20 152.20 39.72
Sites, in units of the cell vectors:
1 Be 0.000 0.000 0.000
2 Cd 0.613 0.613 0.000
3 Pb 0.340 0.340 0.000

=====

Below is an optimized crystal structure of BeCdPb2, with properties calculated at the PBE level.

Space-group type   Pm (6)
Theoretical density   9.189 g/cm³
E_form   0.35 eV/atom

a b c (Å): 4.722 3.445 6.327
angles (deg): 90.00 109.82 90.00
Sites, in units of the cell vectors:
1 Be 0.000 0.000 0.000
2 Cd 0.819 0.500 0.675
3 Pb 0.212 0.000 0.451
4 Pb 0.543 0.500 0.090

=====

Below is an optimized crystal structure of BeCd3Pb, with properties calculated at the PBE level.

Space-group type   Pm-3m (221)
Theoretical density   7.976 g/cm³
E_form   0.29 eV/atom

a b c (Å): 4.866 4.866 4.866
angles (deg): 90.00 90.00 90.00
Sites, in units of the cell vectors:
1 Be 0.000 0.000 0.000
2 Cd 0.000 0.000 0.500
3 Cd 0.000 0.500 0.000
4 Cd 0.500 0.000 0.000
5 Pb 0.500 0.500 0.500

=====

Below is an optimized crystal structure of BeCdPb, with properties calculated at the PBE level.

Space-group type   P1 (1)
Theoretical density   8.255 g/cm³
E_form   0.32 eV/atom

a b c (Å): 3.974 5.362 6.970
angles (deg): 110.87 106.48 90.00
Sites, in units of the cell vectors:
1 Be 0.000 0.000 0.000
2 Be 0.441 0.820 0.882
3 Cd 0.135 0.504 0.270
4 Cd 0.812 0.666 0.622
5 Pb 0.432 0.303 0.861
6 Pb 0.652 0.017 0.305

=====

Below is an optimized crystal structure of BeCdPb, with properties calculated at the PBE level.

Space-group type   P4/nmm (129)
Theoretical density   8.674 g/cm³
E_form   0.41 eV/atom

a b c (Å): 4.153 4.153 7.294
angles (deg): 90.00 90.00 90.00
Sites, in units of the cell vectors:
1 Be 0.250 0.250 0.244
2 Be 0.750 0.750 0.756
3 Cd 0.250 0.750 0.000
4 Cd 0.750 0.250 0.000
5 Pb 0.250 0.250 0.633
6 Pb 0.750 0.750 0.367

=====

Below is an optimized crystal structure of BeCdPb, with properties calculated at the PBE level.

Space-group type   P3m1 (156)
Theoretical density   8.174 g/cm³
E_form   0.47 eV/atom

a b c (Å): 4.353 4.353 4.068
angles (deg): 90.00 90.00 120.00
Sites, in units of the cell vectors:
1 Be 0.000 0.000 0.000
2 Cd 0.667 0.333 0.026
3 Pb 0.333 0.667 0.528

=====

Below is an optimized crystal structure of BeCdPb2, with properties calculated at the PBE level.

Space-group type   P2/m (10)
Theoretical density   8.964 g/cm³
E_form   0.40 eV/atom

a b c (Å): 3.292 3.541 8.554
angles (deg): 90.00 95.56 90.00
Sites, in units of the cell vectors:
1 Be 0.000 0.000 0.000
2 Cd 0.000 0.000 0.500
3 Pb 0.447 0.500 0.201
4 Pb 0.553 0.500 0.799

=====

Below is an optimized crystal structure of BeCdPb, with properties calculated at the PBE level.

Space-group type   P1 (1)
Theoretical density   8.115 g/cm³
E_form   0.29 eV/atom

a b c (Å): 3.832 3.847 10.719
angles (deg): 80.33 89.95 60.15
Sites, in units of the cell vectors:
1 Be 0.000 0.000 0.000
2 Be 0.335 0.331 0.005
3 Cd 0.192 0.610 0.591
4 Cd 0.710 0.578 0.142
5 Pb 0.445 0.106 0.361
6 Pb 0.616 0.769 0.835

=====

Below is an optimized crystal structure of Be2CdPb2, with properties calculated at the PBE level.

Space-group type   I4/mmm (139)
Theoretical density   8.079 g/cm³
E_form   0.61 eV/atom

a b c (Å): 6.454 6.454 6.454
angles (deg): 139.58 139.58 58.50
Sites, in units of the cell vectors:
1 Be 0.093 0.093 0.000
2 Be 0.907 0.907 0.000
3 Cd 0.500 0.500 0.000
4 Pb 0.250 0.750 0.500
5 Pb 0.750 0.250 0.500

=====

Below is an optimized crystal structure of BeCdPb2, with properties calculated at the PBE level.

Space-group type   F-43m (216)
Theoretical density   8.769 g/cm³
E_form   0.54 eV/atom

a b c (Å): 5.235 5.235 5.235
angles (deg): 60.00 60.00 60.00
Sites, in units of the cell vectors:
1 Be 0.000 0.000 0.000
2 Cd 0.250 0.250 0.250
3 Pb 0.500 0.500 0.500
4 Pb 0.750 0.750 0.750

=====

Below is an optimized crystal structure of BeCdPb4, with properties calculated at the PBE level.

Space-group type   F-43m (216)
Theoretical density   8.358 g/cm³
E_form   0.64 eV/atom

a b c (Å): 6.439 6.439 6.439
angles (deg): 60.00 60.00 60.00
Sites, in units of the cell vectors:
1 Be 0.000 0.000 0.000
2 Cd 0.750 0.750 0.750
3 Pb 0.375 0.375 0.375
4 Pb 0.375 0.375 0.876
5 Pb 0.375 0.876 0.375
6 Pb 0.876 0.375 0.375

=====

Below is an optimized crystal structure of BeCdPb2, with properties calculated at the PBE level.

Space-group type   Pmmm (47)
Theoretical density   8.984 g/cm³
E_form   0.40 eV/atom

a b c (Å): 3.298 3.314 9.060
angles (deg): 90.00 90.00 90.00
Sites, in units of the cell vectors:
1 Be 0.000 0.000 0.000
2 Cd 0.000 0.000 0.500
3 Pb 0.500 0.500 0.198
4 Pb 0.500 0.500 0.802

=====

Below is an optimized crystal structure of BeCdPb2, with properties calculated at the PBE level.

Space-group type   P4/mmm (123)
Theoretical density   9.039 g/cm³
E_form   0.49 eV/atom

a b c (Å): 4.803 4.803 4.267
angles (deg): 90.00 90.00 90.00
Sites, in units of the cell vectors:
1 Be 0.000 0.000 0.000
2 Cd 0.500 0.500 0.000
3 Pb 0.000 0.500 0.500
4 Pb 0.500 0.000 0.500

=====

Below is an optimized crystal structure of BeCdPb2, with properties calculated at the PBE level.

Space-group type   R-3m (166)
Theoretical density   9.081 g/cm³
E_form   0.37 eV/atom

a b c (Å): 8.789 8.789 8.789
angles (deg): 23.91 23.91 23.91
Sites, in units of the cell vectors:
1 Be 0.000 0.000 0.000
2 Cd 0.500 0.500 0.500
3 Pb 0.265 0.265 0.265
4 Pb 0.735 0.735 0.735

=====

Below is an optimized crystal structure of BeCdPb2, with properties calculated at the PBE level.

Space-group type   Cmmm (65)
Theoretical density   8.860 g/cm³
E_form   0.38 eV/atom

a b c (Å): 3.372 3.372 9.095
angles (deg): 90.00 90.00 103.81
Sites, in units of the cell vectors:
1 Be 0.000 0.000 0.000
2 Cd 0.000 0.000 0.500
3 Pb 0.500 0.500 0.194
4 Pb 0.500 0.500 0.806

=====

Below is an optimized crystal structure of BeCdPb2, with properties calculated at the PBE level.

Space-group type   P4mm (99)
Theoretical density   9.337 g/cm³
E_form   0.35 eV/atom

a b c (Å): 3.315 3.315 8.673
angles (deg): 90.00 90.00 90.00
Sites, in units of the cell vectors:
1 Be 0.000 0.000 0.000
2 Cd 0.500 0.500 0.163
3 Pb 0.000 0.000 0.448
4 Pb 0.500 0.500 0.790

=====

Below is an optimized crystal structure of BeCdPb2, with properties calculated at the PBE level.

Space-group type   Imm2 (44)
Theoretical density   9.123 g/cm³
E_form   0.40 eV/atom

a b c (Å): 6.223 6.223 6.223
angles (deg): 148.98 127.55 62.19
Sites, in units of the cell vectors:
1 Be 0.000 0.000 0.000
2 Cd 0.186 0.686 0.500
3 Pb 0.485 0.485 0.000
4 Pb 0.788 0.288 0.500

=====

Below is an optimized crystal structure of BeCd4Pb, with properties calculated at the PBE level.

Space-group type   F-43m (216)
Theoretical density   7.888 g/cm³
E_form   0.43 eV/atom

a b c (Å): 5.831 5.831 5.831
angles (deg): 60.00 60.00 60.00
Sites, in units of the cell vectors:
1 Be 0.000 0.000 0.000
2 Cd 0.123 0.626 0.626
3 Cd 0.626 0.123 0.626
4 Cd 0.626 0.626 0.123
5 Cd 0.626 0.626 0.626
6 Pb 0.250 0.250 0.250

=====

Below is an optimized crystal structure of BeCdPb2, with properties calculated at the PBE level.

Space-group type   Fm-3m (225)
Theoretical density   9.035 g/cm³
E_form   0.50 eV/atom

a b c (Å): 5.183 5.183 5.183
angles (deg): 60.00 60.00 60.00
Sites, in units of the cell vectors:
1 Be 0.000 0.000 0.000
2 Cd 0.500 0.500 0.500
3 Pb 0.250 0.250 0.250
4 Pb 0.750 0.750 0.750

=====

Below is an optimized crystal structure of BeCd2Pb2, with properties calculated at the PBE level.

Space-group type   P4/mbm (127)
Theoretical density   8.664 g/cm³
E_form   0.34 eV/atom

a b c (Å): 6.762 6.762 5.434
angles (deg): 90.00 90.00 90.00
Sites, in units of the cell vectors:
1 Be 0.000 0.000 0.000
2 Be 0.500 0.500 0.000
3 Cd 0.160 0.340 0.000
4 Cd 0.340 0.840 0.000
5 Cd 0.660 0.160 0.000
6 Cd 0.840 0.660 0.000
7 Pb 0.176 0.676 0.500
8 Pb 0.324 0.176 0.500
9 Pb 0.676 0.824 0.500
10 Pb 0.824 0.324 0.500

=====

Below is an optimized crystal structure of ScBe2CdPb, with properties calculated at the PBE level.

Space-group type   P4/mmm (123)
Theoretical density   5.813 g/cm³
E_form   0.65 eV/atom

a b c (Å): 4.494 4.494 5.411
angles (deg): 90.00 90.00 90.00
Sites, in units of the cell vectors:
1 Sc 0.000 0.000 0.000
2 Be 0.000 0.500 0.500
3 Be 0.500 0.000 0.500
4 Cd 0.000 0.000 0.500
5 Pb 0.500 0.500 0.000

=====

no.,D(E_F) (states/eV/f.u.)
1,3.95
2,1.72
3,1.93
4,1.42
5,1.72
6,1.56
7,1.42
8,4.42
9,0.54
10,1.83
11,2.38
12,1.13
13,1.31
14,0.77
15,1.35
16,0.71
17,1.98
18,0.90
19,3.13
20,1.74
21,1.37
22,1.85
23,1.81
24,1.83
25,1.91
26,3.19
27,1.70
28,2.24
29,4.38